This record from Alexandria via LeMat-Bulk describes LaPtO3 after structural relaxation. The functional is GGA-PBE.

Computed properties:
total moment: 0.00 Bohr magnetons per cell
formation energy (no corrections): -1595 meV per atom
crystal system: cubic

a = 4.0541 Å, b = 4.0541 Å, c = 4.0541 Å
α = 90.00°, β = 90.00°, γ = 90.00°
With the nearest neighbours (Å) after each atom.
Space group Pm-3m (No. 221)
Inequivalent atoms, fractional coordinates:
La  0.0000  0.0000  0.0000 [1 per cell]  12 O 2.87
Pt  0.5000  0.5000  0.5000 [1 per cell]  6 O 2.03
O  0.0000  0.5000  0.5000 [3 per cell]  2 Pt 2.03